VASP calculation (PBE) on ErTm4In2 after structural relaxation.

Geometry as POSCAR:
```
ErTm4In2
1.0
6.750 0.000 0.000
0.000 10.538 0.000
-3.306 0.000 5.827
Er Tm In
2 8 4
Direct
0.000 0.000 0.000
0.000 0.500 0.500
0.084 0.170 0.542
0.084 0.330 0.042
0.393 0.748 0.447
0.393 0.752 0.947
0.607 0.248 0.053
0.607 0.252 0.553
0.916 0.670 0.958
0.916 0.830 0.458
0.475 0.514 0.234
0.475 0.986 0.734
0.525 0.014 0.266
0.525 0.486 0.766
```

Properties
**Excess energy over the best structure of this formula in the dataset**: 0.0 meV/atom
**Calculated formation energy**: -0.106 eV/atom
**Symmetry**: No. 14
**Size of the total moment**: 0.0 μB/f.u.
**Crystal system**: monoclinic

VASP calculation (PBE) on ErTmIn4 after structural relaxation.

Geometry as POSCAR:
```
ErTmIn4
1.0
5.001 0.000 0.000
-2.500 4.331 0.000
0.000 0.000 6.942
Er Tm In
1 1 4
Direct
0.000 0.000 0.000
0.000 0.000 0.500
0.333 0.667 0.238
0.333 0.667 0.763
0.667 0.333 0.265
0.667 0.333 0.733
```

Properties
**Excess energy over the best structure of this formula in the dataset**: 0.0 meV/atom
**Calculated formation energy**: -0.352 eV/atom
**Symmetry**: No. 156
**Size of the total moment**: 0.0 μB/f.u.
**Crystal system**: trigonal